A relaxed Cr2PBrF crystal. Source: Alexandria, functional PBE+U.

a b c (Å): 5.0212 5.0212 4.0159
angles (deg): 90.00 90.00 90.00
With the nearest neighbours (Å) after each atom.
Positions (direct):
Cr  0.0000  0.5000  0.0000  2 F 2.51
Cr  0.5000  0.0000  0.0000  2 F 2.51
P  0.0000  0.0000  0.5000  2 F 2.01
Br  0.5000  0.5000  0.5000  8 Cr 3.21, 4 P 3.55
F  0.0000  0.0000  0.0000  2 P 2.01

Total magnetization: 8.89 μB/f.u.
Total DFT energy (no corrections): -4.736 eV/atom
Crystal system: tetragonal